# MgSbMo2, relaxed, DFT PBE-GGA
# **E_tot**: -6.5200 eV/atom
# **Relative energy among the computed polymorphs**: 189 meV per atom
# **Energy relative to the elements, uncorrected**: 31 kJ per mole of atoms
# **Magnetic moment**: 0.0 μB/f.u.
data_MgSbMo2
_chemical_formula_sum 'Mg1 Sb1 Mo2'
_space_group_name_H-M_alt 'P 1'
_space_group_IT_number 1
_cell_length_a 5.055
_cell_length_b 5.055
_cell_length_c 4.679
_cell_angle_alpha 78.32
_cell_angle_beta 78.32
_cell_angle_gamma 38.19
loop_
_space_group_symop_operation_xyz
'x,y,z'
loop_
_atom_site_label
_atom_site_type_symbol
_atom_site_fract_x
_atom_site_fract_y
_atom_site_fract_z
Mo1 Mo 0.999 0.999 0.973
Mo2 Mo 0.501 0.501 0.527
Sb1 Sb 0.250 0.250 0.250
Mg1 Mg 0.750 0.750 0.750



# MgSb2Mo, relaxed, DFT PBE-GGA
# **E_tot**: -4.9691 eV/atom
# **Energy relative to the elements, uncorrected**: 19 kJ per mole of atoms
# **Magnetic moment**: 0.0 μB/f.u.
data_MgSb2Mo
_chemical_formula_sum 'Mg1 Sb2 Mo1'
_space_group_name_H-M_alt 'P 1'
_space_group_IT_number 1
_cell_length_a 3.618
_cell_length_b 3.618
_cell_length_c 6.512
_cell_angle_alpha 90.00
_cell_angle_beta 90.00
_cell_angle_gamma 90.00
loop_
_space_group_symop_operation_xyz
'x,y,z'
loop_
_atom_site_label
_atom_site_type_symbol
_atom_site_fract_x
_atom_site_fract_y
_atom_site_fract_z
Sb1 Sb 0.500 0.500 0.282
Sb2 Sb 0.000 0.000 0.938
Mo1 Mo 0.500 0.500 0.772
Mg1 Mg 0.000 0.000 0.508



# Mg4SbMo2, relaxed, DFT PBE-GGA
# **E_tot**: -3.6278 eV/atom
# **Energy relative to the elements, uncorrected**: 93 kJ per mole of atoms
# **Magnetic moment**: 0.0 μB/f.u.
data_Mg4SbMo2
_chemical_formula_sum 'Mg4 Sb1 Mo2'
_space_group_name_H-M_alt 'P 1'
_space_group_IT_number 1
_cell_length_a 5.543
_cell_length_b 5.543
_cell_length_c 7.832
_cell_angle_alpha 69.27
_cell_angle_beta 69.27
_cell_angle_gamma 90.00
loop_
_space_group_symop_operation_xyz
'x,y,z'
loop_
_atom_site_label
_atom_site_type_symbol
_atom_site_fract_x
_atom_site_fract_y
_atom_site_fract_z
Mg1 Mg 0.500 0.000 0.000
Mg2 Mg 0.791 0.791 0.418
Mg3 Mg 0.209 0.209 0.582
Mg4 Mg 0.000 0.500 0.000
Sb1 Sb 0.000 0.000 0.000
Mo1 Mo 0.423 0.423 0.154
Mo2 Mo 0.577 0.577 0.846



# Mg2SbMo, relaxed, DFT PBE-GGA
# **E_tot**: -4.2146 eV/atom
# **Energy relative to the elements, uncorrected**: 31 kJ per mole of atoms
# **Magnetic moment**: 0.0 μB/f.u.
data_Mg2SbMo
_chemical_formula_sum 'Mg2 Sb1 Mo1'
_space_group_name_H-M_alt 'P 1'
_space_group_IT_number 1
_cell_length_a 9.565
_cell_length_b 9.565
_cell_length_c 9.565
_cell_angle_alpha 19.10
_cell_angle_beta 19.10
_cell_angle_gamma 19.10
loop_
_space_group_symop_operation_xyz
'x,y,z'
loop_
_atom_site_label
_atom_site_type_symbol
_atom_site_fract_x
_atom_site_fract_y
_atom_site_fract_z
Mg1 Mg 0.504 0.504 0.504
Mg2 Mg 0.996 0.996 0.996
Sb1 Sb 0.750 0.750 0.750
Mo1 Mo 0.250 0.250 0.250



# Mg14SbMo, relaxed, DFT PBE-GGA
# **E_tot**: -2.2763 eV/atom
# **Relative energy among the computed polymorphs**: 0 meV per atom
# **Energy relative to the elements, uncorrected**: 5 kJ per mole of atoms
# **Magnetic moment**: 1.2 μB/f.u.
data_Mg14SbMo
_chemical_formula_sum 'Mg14 Sb1 Mo1'
_space_group_name_H-M_alt 'P 1'
_space_group_IT_number 1
_cell_length_a 6.317
_cell_length_b 6.317
_cell_length_c 10.078
_cell_angle_alpha 90.00
_cell_angle_beta 90.00
_cell_angle_gamma 120.00
loop_
_space_group_symop_operation_xyz
'x,y,z'
loop_
_atom_site_label
_atom_site_type_symbol
_atom_site_fract_x
_atom_site_fract_y
_atom_site_fract_z
Mg1 Mg 0.001 0.500 0.500
Mg2 Mg 0.667 0.333 0.748
Mg3 Mg 0.500 0.999 0.500
Mg4 Mg 0.501 0.499 0.000
Mg5 Mg 0.667 0.333 0.252
Mg6 Mg 0.162 0.323 0.240
Mg7 Mg 0.677 0.838 0.240
Mg8 Mg 0.162 0.838 0.760
Mg9 Mg 0.162 0.838 0.240
Mg10 Mg 0.501 0.002 0.000
Mg11 Mg 0.998 0.499 0.000
Mg12 Mg 0.500 0.500 0.500
Mg13 Mg 0.677 0.838 0.760
Mg14 Mg 0.162 0.323 0.760
Sb1 Sb 0.000 0.000 0.500
Mo1 Mo 0.000 0.000 0.000



# Mg3SbMo, relaxed, DFT PBE-GGA
# **E_tot**: -2.9220 eV/atom
# **Relative energy among the computed polymorphs**: 0 meV per atom
# **Energy relative to the elements, uncorrected**: 99 kJ per mole of atoms
# **Magnetic moment**: 2.2 μB/f.u.
data_Mg3SbMo
_chemical_formula_sum 'Mg3 Sb1 Mo1'
_space_group_name_H-M_alt 'P 1'
_space_group_IT_number 1
_cell_length_a 5.193
_cell_length_b 5.193
_cell_length_c 5.193
_cell_angle_alpha 90.00
_cell_angle_beta 90.00
_cell_angle_gamma 90.00
loop_
_space_group_symop_operation_xyz
'x,y,z'
loop_
_atom_site_label
_atom_site_type_symbol
_atom_site_fract_x
_atom_site_fract_y
_atom_site_fract_z
Mg1 Mg 0.000 0.000 0.500
Mg2 Mg 0.500 0.000 0.000
Mg3 Mg 0.000 0.500 0.000
Sb1 Sb 0.500 0.500 0.500
Mo1 Mo 0.000 0.000 0.000



# MgSb2TeMo, relaxed, DFT PBE-GGA
# **E_tot**: -3.6529 eV/atom
# **Relative energy among the computed polymorphs**: 677 meV per atom
# **Energy relative to the elements, uncorrected**: 107 kJ per mole of atoms
# **Magnetic moment**: 3.8 μB/f.u.
data_MgSb2TeMo
_chemical_formula_sum 'Mg1 Sb2 Te1 Mo1'
_space_group_name_H-M_alt 'P 1'
_space_group_IT_number 1
_cell_length_a 5.277
_cell_length_b 5.277
_cell_length_c 5.437
_cell_angle_alpha 90.00
_cell_angle_beta 90.00
_cell_angle_gamma 90.00
loop_
_space_group_symop_operation_xyz
'x,y,z'
loop_
_atom_site_label
_atom_site_type_symbol
_atom_site_fract_x
_atom_site_fract_y
_atom_site_fract_z
Te1 Te 0.000 0.000 0.500
Mo1 Mo 0.500 0.500 0.500
Sb1 Sb 0.000 0.500 0.000
Sb2 Sb 0.500 0.000 0.000
Mg1 Mg 0.000 0.000 0.000



# MgSbTe2Mo, relaxed, DFT PBE-GGA
# **E_tot**: -4.1697 eV/atom
# **Relative energy among the computed polymorphs**: 0 meV per atom
# **Energy relative to the elements, uncorrected**: 38 kJ per mole of atoms
# **Magnetic moment**: 0.0 μB/f.u.
data_MgSbTe2Mo
_chemical_formula_sum 'Mg1 Sb1 Te2 Mo1'
_space_group_name_H-M_alt 'P 1'
_space_group_IT_number 1
_cell_length_a 5.358
_cell_length_b 5.260
_cell_length_c 5.358
_cell_angle_alpha 90.00
_cell_angle_beta 90.00
_cell_angle_gamma 90.00
loop_
_space_group_symop_operation_xyz
'x,y,z'
loop_
_atom_site_label
_atom_site_type_symbol
_atom_site_fract_x
_atom_site_fract_y
_atom_site_fract_z
Mo1 Mo 0.000 0.000 0.000
Mg1 Mg 0.500 0.500 0.500
Te1 Te 0.500 0.000 0.000
Te2 Te 0.000 0.000 0.500
Sb1 Sb 0.000 0.500 0.000



Q: The lowest energy relative to the elements, uncorrected belongs to which entry?
A: Mg14SbMo



Q: What is the formula in the second record?
A: MgSb2Mo



Q: energy relative to the elements, uncorrected of number 2 (MgSb2Mo)?
A: 19 kJ per mole of atoms